Entry 1:
A plane-wave DFT calculation with PBE was carried out for KCaPb2 after structural relaxation.

Formation enthalpy at 0 K: -0.227 eV/atom
Calculated density: 6.3 g/cm3

Geometry as CIF:
```
data_KCaPb2
_symmetry_space_group_name_H-M 'I 4/m m m'
_symmetry_Int_Tables_number 139
_symmetry_space_group_name_Hall '-I 4 2'
_cell_length_a 5.104
_cell_length_b 5.104
_cell_length_c 9.951
_cell_angle_alpha 90.00
_cell_angle_beta 90.00
_cell_angle_gamma 90.00
loop_
_atom_site_label
_atom_site_fract_x
_atom_site_fract_y
_atom_site_fract_z
K1 0.000 0.000 0.000
Ca1 0.000 0.000 0.500
Pb1 0.000 0.500 0.250
```


Entry 2:
A plane-wave DFT calculation with PBE was carried out for LaCrPb2 after structural relaxation.

Formation enthalpy at 0 K: 0.171 eV/atom
Calculated density: 8.8 g/cm3

Geometry as CIF:
```
data_LaCrPb2
_symmetry_space_group_name_H-M 'F -4 3 m'
_symmetry_Int_Tables_number 216
_symmetry_space_group_name_Hall 'F -4 2 3'
_cell_length_a 7.702
_cell_length_b 7.702
_cell_length_c 7.702
_cell_angle_alpha 90.00
_cell_angle_beta 90.00
_cell_angle_gamma 90.00
loop_
_atom_site_label
_atom_site_fract_x
_atom_site_fract_y
_atom_site_fract_z
La1 0.000 0.000 0.000
Cr1 0.250 0.250 0.750
Pb1 0.000 0.000 0.500
Pb2 0.250 0.250 0.250
```


Entry 3:
A plane-wave DFT calculation with PBE was carried out for Sm2Ho4Th after structural relaxation.

Formation enthalpy at 0 K: 0.024 eV/atom
Calculated density: 8.8 g/cm3
Energy above the most stable polymorph in this dataset: 0 meV per atom

Geometry as CIF:
```
data_Sm2Ho4Th
_symmetry_space_group_name_H-M 'C 1 m 1'
_symmetry_Int_Tables_number 8
_symmetry_space_group_name_Hall 'C -2y'
_cell_length_a 6.229
_cell_length_b 3.598
_cell_length_c 20.231
_cell_angle_alpha 90.00
_cell_angle_beta 95.89
_cell_angle_gamma 90.00
loop_
_atom_site_label
_atom_site_fract_x
_atom_site_fract_y
_atom_site_fract_z
Sm1 0.000 0.000 0.000
Sm2 0.094 0.000 0.286
Ho1 0.190 0.000 0.570
Ho2 0.213 0.500 0.143
Ho3 0.286 0.000 0.856
Ho4 0.308 0.500 0.430
Th1 0.405 0.500 0.713
```


Entry 4:
A plane-wave DFT calculation with PBE was carried out for LaTiFe2 after structural relaxation.

Formation enthalpy at 0 K: 0.452 eV/atom
Calculated density: 5.9 g/cm3

Geometry as CIF:
```
data_LaTiFe2
_symmetry_space_group_name_H-M 'I 41/a m d'
_symmetry_Int_Tables_number 141
_cell_length_a 4.652
_cell_length_b 4.652
_cell_length_c 15.611
_cell_angle_alpha 90.00
_cell_angle_beta 90.00
_cell_angle_gamma 90.00
loop_
_symmetry_equiv_pos_as_xyz
'x,y,z'
'-x,-y,-z'
'-y+1/4,x+3/4,z+1/4'
'y+1/4,-x+3/4,-z+1/4'
'-x+1/2,-y,z+1/2'
'x+1/2,y,-z+1/2'
'y+1/4,-x+1/4,z+3/4'
'-y+1/4,x+1/4,-z+3/4'
'x,-y,-z'
'-x,y,z'
'-y+1/4,-x+1/4,-z+3/4'
'y+1/4,x+1/4,z+3/4'
'-x+1/2,y,-z+1/2'
'x+1/2,-y,z+1/2'
'y+1/4,x+3/4,-z+1/4'
'-y+1/4,-x+3/4,z+1/4'
'x+1/2,y+1/2,z+1/2'
'-x+1/2,-y+1/2,-z+1/2'
'-y+3/4,x+1/4,z+3/4'
'y+3/4,-x+1/4,-z+3/4'
'-x,-y+1/2,z'
'x,y+1/2,-z'
'y+3/4,-x+3/4,z+1/4'
'-y+3/4,x+3/4,-z+1/4'
'x+1/2,-y+1/2,-z+1/2'
'-x+1/2,y+1/2,z+1/2'
'-y+3/4,-x+3/4,-z+1/4'
'y+3/4,x+3/4,z+1/4'
'-x,y+1/2,-z'
'x,-y+1/2,z'
'y+3/4,x+1/4,-z+3/4'
'-y+3/4,-x+1/4,z+3/4'
loop_
_atom_site_label
_atom_site_fract_x
_atom_site_fract_y
_atom_site_fract_z
La1 0.000 0.250 0.375
Ti1 0.000 0.250 0.875
Fe1 0.000 0.000 0.000
```


Entry 5:
A plane-wave DFT calculation with PBE was carried out for K2ZrHgCl6 after structural relaxation.

Calculated density: 2.6 g/cm3
Total DFT energy (no corrections): -3.919 eV/atom

Geometry as CIF:
```
data_K2ZrHgCl6
_symmetry_space_group_name_H-M 'P 1'
_symmetry_Int_Tables_number 1
_symmetry_space_group_name_Hall 'P 1'
_cell_length_a 7.696
_cell_length_b 7.704
_cell_length_c 8.503
_cell_angle_alpha 90.04
_cell_angle_beta 116.90
_cell_angle_gamma 119.96
loop_
_atom_site_label
_atom_site_fract_x
_atom_site_fract_y
_atom_site_fract_z
K1 0.000 0.000 0.000
K2 0.058 0.530 0.587
Zr1 0.682 0.342 0.023
Hg1 0.654 0.828 0.481
Cl1 0.055 0.365 0.229
Cl2 0.301 0.306 0.829
Cl3 0.522 0.995 0.828
Cl4 0.540 0.176 0.230
Cl5 0.833 0.527 0.828
Cl6 0.865 0.690 0.229
```


Entry 6:
A plane-wave DFT calculation with PBE was carried out for Tb5HoTm2In after structural relaxation.

Formation enthalpy at 0 K: 0.000 eV/atom
Calculated density: 8.3 g/cm3

Geometry as CIF:
```
data_Tb5HoTm2In
_symmetry_space_group_name_H-M 'C m c m'
_symmetry_Int_Tables_number 63
_symmetry_space_group_name_Hall '-C 2c 2'
_cell_length_a 5.350
_cell_length_b 20.008
_cell_length_c 10.509
_cell_angle_alpha 90.00
_cell_angle_beta 90.00
_cell_angle_gamma 90.00
loop_
_atom_site_label
_atom_site_fract_x
_atom_site_fract_y
_atom_site_fract_z
Tb1 0.000 0.000 0.000
Tb2 0.000 0.119 0.250
Tb3 0.000 0.211 0.550
Tb4 0.000 0.488 0.250
Ho1 0.000 0.294 0.250
Tm1 0.000 0.384 0.540
In1 0.000 0.096 0.750
```


Entry 7:
A plane-wave DFT calculation with PBE was carried out for K2TlSnBi2 after structural relaxation.

Formation enthalpy at 0 K: -0.239 eV/atom
Calculated density: 5.6 g/cm3

Geometry as CIF:
```
data_K2TlSnBi2
_symmetry_space_group_name_H-M 'I b a m'
_symmetry_Int_Tables_number 72
_symmetry_space_group_name_Hall '-I 2 2c'
_cell_length_a 7.918
_cell_length_b 15.717
_cell_length_c 7.833
_cell_angle_alpha 90.00
_cell_angle_beta 90.00
_cell_angle_gamma 90.00
loop_
_atom_site_label
_atom_site_fract_x
_atom_site_fract_y
_atom_site_fract_z
K1 0.245 0.162 0.000
Tl1 0.000 0.000 0.250
Sn1 0.000 0.500 0.250
Bi1 0.231 0.398 0.000
```


Entry 8:
A plane-wave DFT calculation with PBE was carried out for Sc2AsRu after structural relaxation.

Formation enthalpy at 0 K: -0.160 eV/atom
Calculated density: 5.3 g/cm3

Geometry as CIF:
```
data_Sc2AsRu
_symmetry_space_group_name_H-M 'R -3 m'
_symmetry_Int_Tables_number 166
_symmetry_space_group_name_Hall '-R 3 2"'
_cell_length_a 3.2405
_cell_length_b 3.2405
_cell_length_c 27.4943
_cell_angle_alpha 90.00
_cell_angle_beta 90.00
_cell_angle_gamma 120.00
loop_
_atom_site_label
_atom_site_fract_x
_atom_site_fract_y
_atom_site_fract_z
Sc1 0.0000 0.0000 0.0984
As1 0.0000 0.0000 0.0000
Ru1 0.0000 0.0000 0.5000
```


Entry 9:
A plane-wave DFT calculation with PBE was carried out for LiBe2Ni after structural relaxation.

Formation enthalpy at 0 K: -0.025 eV/atom
Calculated density: 3.4 g/cm3

Geometry as CIF:
```
data_LiBe2Ni
_symmetry_space_group_name_H-M 'P 4 m m'
_symmetry_Int_Tables_number 99
_symmetry_space_group_name_Hall 'P 4 -2'
_cell_length_a 2.588
_cell_length_b 2.588
_cell_length_c 6.036
_cell_angle_alpha 90.00
_cell_angle_beta 90.00
_cell_angle_gamma 90.00
loop_
_atom_site_label
_atom_site_fract_x
_atom_site_fract_y
_atom_site_fract_z
Li1 0.000 0.000 0.000
Be1 0.000 0.000 0.499
Be2 0.500 0.500 0.702
Ni1 0.500 0.500 0.300
```


Entry 10:
A plane-wave DFT calculation with PBE was carried out for KSiB3 after structural relaxation.

Calculated density: 1.5 g/cm3
Energy above the most stable polymorph in this dataset: 1995 meV per atom

Geometry as CIF:
```
data_KSiB3
_symmetry_space_group_name_H-M 'P m -3 m'
_symmetry_Int_Tables_number 221
_symmetry_space_group_name_Hall '-P 4 2 3'
_cell_length_a 4.793
_cell_length_b 4.793
_cell_length_c 4.793
_cell_angle_alpha 90.00
_cell_angle_beta 90.00
_cell_angle_gamma 90.00
loop_
_atom_site_label
_atom_site_fract_x
_atom_site_fract_y
_atom_site_fract_z
K1 0.000 0.000 0.000
Si1 0.500 0.500 0.500
B1 0.000 0.000 0.500
```


Entry 11:
A plane-wave DFT calculation with PBE was carried out for KInRhPb2 after structural relaxation.

Formation enthalpy at 0 K: -0.024 eV/atom
Calculated density: 7.2 g/cm3

Geometry as CIF:
```
data_KInRhPb2
_symmetry_space_group_name_H-M 'P 4/m m m'
_symmetry_Int_Tables_number 123
_symmetry_space_group_name_Hall '-P 4 2'
_cell_length_a 5.423
_cell_length_b 5.423
_cell_length_c 5.255
_cell_angle_alpha 90.00
_cell_angle_beta 90.00
_cell_angle_gamma 90.00
loop_
_atom_site_label
_atom_site_fract_x
_atom_site_fract_y
_atom_site_fract_z
K1 0.000 0.000 0.000
In1 0.500 0.500 0.000
Rh1 0.500 0.500 0.500
Pb1 0.000 0.500 0.500
```


Entry 12:
A plane-wave DFT calculation with PBE was carried out for YAlAg after structural relaxation.

Formation enthalpy at 0 K: 0.294 eV/atom
Calculated density: 4.6 g/cm3

Geometry as CIF:
```
data_YAlAg
_symmetry_space_group_name_H-M 'F -4 3 m'
_symmetry_Int_Tables_number 216
_symmetry_space_group_name_Hall 'F -4 2 3'
_cell_length_a 6.855
_cell_length_b 6.855
_cell_length_c 6.855
_cell_angle_alpha 90.00
_cell_angle_beta 90.00
_cell_angle_gamma 90.00
loop_
_atom_site_label
_atom_site_fract_x
_atom_site_fract_y
_atom_site_fract_z
Y1 0.000 0.000 0.000
Al1 0.250 0.250 0.750
Ag1 0.250 0.250 0.250
```


no.,total magnetization (Bohr magnetons per cell)
1,0.0
2,18.1
3,0.0
4,4.1
5,0.0
6,0.0
7,0.0
8,0.0
9,0.0
10,0.5
11,0.0
12,0.0